[1]
First-principles (GGA-PBE) data for a relaxed structure of ScTe2Cl, as listed in Alexandria.

abc: 3.2206 3.2206 11.1918
angles: 90.00 90.00 90.00
Space group P4mm (No. 99)
Unique sites:
Sc 0.0000 0.0000 0.0000 (multiplicity 1)
Te 0.0000 0.0000 0.5293 (multiplicity 1)
Te 0.5000 0.5000 0.1849 (multiplicity 1)
Cl 0.5000 0.5000 0.8688 (multiplicity 1)

## Properties
Its density of states at the Fermi level is 0.87 states/eV per atom. The formation energy without anion corrections comes out at -0.832 eV per atom. As for the energy above the most stable polymorph in this dataset: 0.232 eV per atom.

[2]
First-principles (GGA-PBE) data for a relaxed structure of ScTe2Cl, as listed in Alexandria.

abc: 3.2422 5.6985 14.9883
angles: 90.00 90.00 90.00
Space group Imm2 (No. 44)
Unique sites:
Sc 0.0000 0.0000 0.0000 (multiplicity 2)
Te 0.0000 0.0000 0.5461 (multiplicity 2)
Te 0.0000 0.5000 0.6651 (multiplicity 2)
Cl 0.0000 0.5000 0.3759 (multiplicity 2)

## Properties
Its density of states at the Fermi level is 0.68 states/eV per atom. The formation energy without anion corrections comes out at -0.886 eV per atom. As for the energy above the most stable polymorph in this dataset: 0.179 eV per atom.

[3]
First-principles (GGA-PBE) data for a relaxed structure of ScTe2Cl, as listed in Alexandria.

abc: 5.3429 5.3429 19.5323
angles: 90.00 90.00 90.00
Space group I-42d (No. 122)
Unique sites:
Sc 0.0000 0.0000 0.0000 (multiplicity 4)
Te 0.1143 0.2500 0.1250 (multiplicity 8)
Cl 0.0000 0.0000 0.5000 (multiplicity 4)

## Properties
Its density of states at the Fermi level is 0.00 states/eV per atom. The formation energy without anion corrections comes out at -0.504 eV per atom. As for the energy above the most stable polymorph in this dataset: 0.560 eV per atom.

[4]
First-principles (GGA-PBE) data for a relaxed structure of Sc4TeCl, as listed in Alexandria.

abc: 8.4768 8.4768 8.4768
angles: 90.00 90.00 90.00
Space group F-43m (No. 216)
Unique sites:
Sc 0.1239 0.1239 0.1239 (multiplicity 16)
Te 0.2500 0.2500 0.7500 (multiplicity 4)
Cl 0.0000 0.0000 0.5000 (multiplicity 4)

## Properties
Its density of states at the Fermi level is 1.34 states/eV per atom. The formation energy without anion corrections comes out at -0.015 eV per atom.

[5]
First-principles (GGA-PBE) data for a relaxed structure of ScTe2Cl, as listed in Alexandria.

abc: 3.8469 3.8469 7.0550
angles: 90.00 90.00 90.00
Space group P4/mmm (No. 123)
Unique sites:
Sc 0.0000 0.0000 0.0000 (multiplicity 1)
Te 0.5000 0.5000 0.2017 (multiplicity 2)
Cl 0.0000 0.0000 0.5000 (multiplicity 1)

## Properties
Its density of states at the Fermi level is 0.16 states/eV per atom. The formation energy without anion corrections comes out at -0.792 eV per atom. As for the energy above the most stable polymorph in this dataset: 0.272 eV per atom.

[6]
First-principles (GGA-PBE) data for a relaxed structure of ScTe2Cl, as listed in Alexandria.

abc: 5.0997 4.4170 5.9869
angles: 90.00 102.77 90.00
Space group P2/m (No. 10)
Unique sites:
Sc 0.0000 0.0000 0.0000 (multiplicity 1)
Te 0.1443 0.5000 0.3285 (multiplicity 2)
Cl 0.5000 0.0000 0.0000 (multiplicity 1)

## Properties
Its density of states at the Fermi level is 0.21 states/eV per atom. The formation energy without anion corrections comes out at -1.041 eV per atom. As for the energy above the most stable polymorph in this dataset: 0.024 eV per atom.

[7]
First-principles (GGA-PBE) data for a relaxed structure of ScTe2Cl, as listed in Alexandria.

abc: 10.9209 3.7050 5.4281
angles: 90.00 103.13 90.00
Space group C2/m (No. 12)
Unique sites:
Sc 0.0000 0.0000 0.0000 (multiplicity 2)
Te 0.2071 0.5000 0.1969 (multiplicity 4)
Cl 0.0000 0.5000 0.5000 (multiplicity 2)

## Properties
Its density of states at the Fermi level is 0.30 states/eV per atom. The formation energy without anion corrections comes out at -0.712 eV per atom. As for the energy above the most stable polymorph in this dataset: 0.353 eV per atom.

[8]
First-principles (GGA-PBE) data for a relaxed structure of Sc2TeCl, as listed in Alexandria.

abc: 14.7778 3.7164 3.7272
angles: 90.00 90.16 90.00
Space group Cm (No. 8)
Unique sites:
Sc 0.0000 0.0000 0.0000 (multiplicity 2)
Sc 0.1236 0.5000 0.5016 (multiplicity 2)
Te 0.2020 0.0000 0.0024 (multiplicity 2)
Cl 0.4405 0.0000 0.4993 (multiplicity 2)

## Properties
Its density of states at the Fermi level is 0.32 states/eV per atom. The formation energy without anion corrections comes out at -1.105 eV per atom. As for the energy above the most stable polymorph in this dataset: 0.036 eV per atom.

[9]
First-principles (GGA-PBE) data for a relaxed structure of Sc2TeCl, as listed in Alexandria.

abc: 3.7538 4.2039 6.0906
angles: 90.00 90.00 90.00
Space group Pmmm (No. 47)
Unique sites:
Sc 0.0000 0.0000 0.0000 (multiplicity 1)
Sc 0.5000 0.0000 0.5000 (multiplicity 1)
Te 0.0000 0.5000 0.5000 (multiplicity 1)
Cl 0.5000 0.5000 0.0000 (multiplicity 1)

## Properties
Its density of states at the Fermi level is 1.06 states/eV per atom. The formation energy without anion corrections comes out at -0.814 eV per atom. As for the energy above the most stable polymorph in this dataset: 0.327 eV per atom.

[10]
First-principles (GGA-PBE) data for a relaxed structure of Sc2TeCl, as listed in Alexandria.

abc: 3.9307 3.9307 12.7063
angles: 90.00 90.00 90.00
Space group I-4m2 (No. 119)
Unique sites:
Sc 0.0000 0.0000 0.0000 (multiplicity 2)
Sc 0.0000 0.5000 0.2500 (multiplicity 2)
Te 0.0000 0.5000 0.7500 (multiplicity 2)
Cl 0.0000 0.0000 0.5000 (multiplicity 2)

## Properties
Its density of states at the Fermi level is 1.01 states/eV per atom. The formation energy without anion corrections comes out at -0.764 eV per atom. As for the energy above the most stable polymorph in this dataset: 0.377 eV per atom.

[11]
First-principles (GGA-PBE) data for a relaxed structure of Sc2TeCl, as listed in Alexandria.

abc: 7.2693 7.2693 7.2693
angles: 90.00 90.00 90.00
Space group F-43m (No. 216)
Unique sites:
Sc 0.0000 0.0000 0.0000 (multiplicity 4)
Sc 0.2500 0.2500 0.2500 (multiplicity 4)
Te 0.2500 0.2500 0.7500 (multiplicity 4)
Cl 0.0000 0.0000 0.5000 (multiplicity 4)

## Properties
Its density of states at the Fermi level is 0.54 states/eV per atom. The formation energy without anion corrections comes out at -0.348 eV per atom. As for the energy above the most stable polymorph in this dataset: 0.793 eV per atom.

[12]
First-principles (GGA-PBE) data for a relaxed structure of ScTe3Cl, as listed in Alexandria.

abc: 5.4890 5.4890 5.4890
angles: 90.00 90.00 90.00
Space group Pm-3m (No. 221)
Unique sites:
Sc 0.0000 0.0000 0.0000 (multiplicity 1)
Te 0.0000 0.0000 0.5000 (multiplicity 3)
Cl 0.5000 0.5000 0.5000 (multiplicity 1)

## Properties
Its density of states at the Fermi level is 1.61 states/eV per atom. The formation energy without anion corrections comes out at -0.190 eV per atom. As for the energy above the most stable polymorph in this dataset: 0.000 eV per atom.

[13]
First-principles (GGA-PBE) data for a relaxed structure of ScTeCl, as listed in Alexandria.

abc: 4.2175 5.5539 14.9140
angles: 90.00 90.00 90.00
Space group Fmm2 (No. 42)
Unique sites:
Sc 0.0000 0.0000 0.0000 (multiplicity 4)
Te 0.0000 0.0000 0.6253 (multiplicity 4)
Cl 0.0000 0.0000 0.3904 (multiplicity 4)

## Properties
The formation energy without anion corrections comes out at -1.260 eV per atom.

[14]
First-principles (GGA-PBE) data for a relaxed structure of Sc2TeCl, as listed in Alexandria.

abc: 4.6435 5.0972 8.9792
angles: 90.00 90.00 90.00
Space group Cmm2 (No. 35)
Unique sites:
Sc 0.0000 0.0000 0.0000 (multiplicity 2)
Sc 0.0000 0.5000 0.2605 (multiplicity 2)
Te 0.0000 0.5000 0.8046 (multiplicity 2)
Cl 0.0000 0.0000 0.4057 (multiplicity 2)

## Properties
Its density of states at the Fermi level is 0.98 states/eV per atom. The formation energy without anion corrections comes out at -0.939 eV per atom. As for the energy above the most stable polymorph in this dataset: 0.202 eV per atom.

[15]
First-principles (GGA-PBE) data for a relaxed structure of ScTe2Cl, as listed in Alexandria.

abc: 4.3948 3.5835 8.3527
angles: 90.00 99.07 90.00
Space group Pm (No. 6)
Unique sites:
Sc 0.0000 0.0000 0.0000 (multiplicity 1)
Te 0.4764 0.5000 0.8750 (multiplicity 1)
Te 0.7681 0.0000 0.6411 (multiplicity 1)
Cl 0.1028 0.5000 0.2170 (multiplicity 1)

## Properties
Its density of states at the Fermi level is 0.42 states/eV per atom. The formation energy without anion corrections comes out at -0.931 eV per atom. As for the energy above the most stable polymorph in this dataset: 0.133 eV per atom.